Record 1
VASP calculation (GGA-PBE) on an optimized crystal structure of YZnCuP2.

Properties
**ΔH_f (0 K)**: -17.83 kcal/mol of atoms
**Crystal system**: trigonal
**Total DFT energy (no corrections)**: -5.304 eV/atom

abc: 3.978 3.978 6.555
angles: 90.00 90.00 120.00
Sites, in units of the cell vectors:
Y1 0.000 0.000 0.000
Zn1 0.667 0.333 0.391
Cu1 0.333 0.667 0.657
P1 0.333 0.667 0.270
P2 0.667 0.333 0.759

Record 2
VASP calculation (GGA-PBE) on an optimized crystal structure of YbZnCuP2.

Properties
**ΔH_f (0 K)**: -15.32 kcal/mol of atoms
**Crystal system**: trigonal
**Total DFT energy (no corrections)**: -4.208 eV/atom

abc: 3.952 3.952 6.616
angles: 90.00 90.00 120.00
Sites, in units of the cell vectors:
Yb1 0.000 0.000 0.000
Zn1 0.667 0.333 0.383
Cu1 0.333 0.667 0.645
P1 0.333 0.667 0.264
P2 0.667 0.333 0.749

Record 3
VASP calculation (GGA-PBE) on an optimized crystal structure of ZnCu2P.

Properties
**ΔH_f (0 K)**: 3.70 kcal/mol of atoms
**ΔE to the lowest computed polymorph**: 0.114 eV per atom
**Crystal system**: monoclinic
**Total DFT energy (no corrections)**: -3.559 eV/atom

abc: 4.955 4.955 2.807
angles: 104.01 104.01 116.34
Sites, in units of the cell vectors:
Zn1 0.000 0.000 0.000
Cu1 0.000 0.500 0.000
Cu2 0.500 0.000 0.000
P1 0.500 0.500 0.000

Record 4
VASP calculation (GGA-PBE) on an optimized crystal structure of ZnCu2P.

Properties
**ΔH_f (0 K)**: 2.51 kcal/mol of atoms
**ΔE to the lowest computed polymorph**: 0.062 eV per atom
**Crystal system**: tetragonal
**Total DFT energy (no corrections)**: -3.610 eV/atom

abc: 3.225 3.225 5.087
angles: 90.00 90.00 90.00
Sites, in units of the cell vectors:
Zn1 0.000 0.000 0.000
Cu1 0.500 0.500 0.255
Cu2 0.500 0.500 0.745
P1 0.000 0.000 0.500

Record 5
VASP calculation (GGA-PBE) on an optimized crystal structure of ZnCu2P.

Properties
**ΔH_f (0 K)**: 2.54 kcal/mol of atoms
**ΔE to the lowest computed polymorph**: 0.064 eV per atom
**Crystal system**: trigonal
**Total DFT energy (no corrections)**: -3.609 eV/atom

abc: 8.072 8.072 8.072
angles: 19.88 19.88 19.88
Sites, in units of the cell vectors:
Zn1 0.000 0.000 0.000
Cu1 0.246 0.246 0.246
Cu2 0.754 0.754 0.754
P1 0.500 0.500 0.500

Record 6
VASP calculation (GGA-PBE) on an optimized crystal structure of ZnCu2P.

Properties
**ΔH_f (0 K)**: 2.07 kcal/mol of atoms
**ΔE to the lowest computed polymorph**: 0.043 eV per atom
**Crystal system**: monoclinic
**Total DFT energy (no corrections)**: -3.629 eV/atom

abc: 4.243 4.243 4.866
angles: 99.81 99.81 38.17
Sites, in units of the cell vectors:
Zn1 0.000 0.000 0.000
Cu1 0.247 0.247 0.745
Cu2 0.753 0.753 0.255
P1 0.500 0.500 0.500

Record 7
VASP calculation (GGA-PBE) on an optimized crystal structure of Zn2CuP2.

Properties
**ΔH_f (0 K)**: 4.80 kcal/mol of atoms
**Crystal system**: tetragonal
**Total DFT energy (no corrections)**: -3.285 eV/atom

abc: 6.598 6.598 3.640
angles: 90.00 90.00 90.00
Sites, in units of the cell vectors:
Zn1 0.137 0.363 0.000
Zn2 0.363 0.863 0.000
Zn3 0.637 0.137 0.000
Zn4 0.863 0.637 0.000
Cu1 0.000 0.000 0.500
Cu2 0.500 0.500 0.500
P1 0.183 0.683 0.500
P2 0.317 0.183 0.500
P3 0.683 0.817 0.500
P4 0.817 0.317 0.500

Record 8
VASP calculation (GGA-PBE) on an optimized crystal structure of Zn3CuP2.

Properties
**ΔH_f (0 K)**: 11.65 kcal/mol of atoms
**Crystal system**: hexagonal
**Total DFT energy (no corrections)**: -2.618 eV/atom

abc: 4.974 4.974 4.623
angles: 90.00 90.00 120.00
Sites, in units of the cell vectors:
Zn1 0.000 0.500 0.000
Zn2 0.500 0.000 0.000
Zn3 0.500 0.500 0.000
Cu1 0.000 0.000 0.500
P1 0.333 0.667 0.500
P2 0.667 0.333 0.500

Record 9
VASP calculation (GGA-PBE) on an optimized crystal structure of ZnCu2P.

Properties
**ΔH_f (0 K)**: 1.60 kcal/mol of atoms
**ΔE to the lowest computed polymorph**: 0.023 eV per atom
**Crystal system**: orthorhombic
**Total DFT energy (no corrections)**: -3.650 eV/atom

abc: 4.678 4.654 3.674
angles: 67.15 66.48 46.37
Sites, in units of the cell vectors:
Zn1 0.000 0.000 0.000
Cu1 0.250 0.250 0.250
Cu2 0.500 0.500 0.500
P1 0.750 0.750 0.750

Record 10
VASP calculation (GGA-PBE) on an optimized crystal structure of ZnCu2P.

Properties
**ΔH_f (0 K)**: 3.46 kcal/mol of atoms
**ΔE to the lowest computed polymorph**: 0.103 eV per atom
**Crystal system**: tetragonal
**Total DFT energy (no corrections)**: -3.569 eV/atom

abc: 2.646 2.646 7.766
angles: 90.00 90.00 90.00
Sites, in units of the cell vectors:
Zn1 0.000 0.000 0.000
Cu1 0.000 0.000 0.463
Cu2 0.500 0.500 0.230
P1 0.500 0.500 0.693

Record 11
VASP calculation (GGA-PBE) on an optimized crystal structure of ZnCu2P.

Properties
**ΔH_f (0 K)**: 4.16 kcal/mol of atoms
**ΔE to the lowest computed polymorph**: 0.134 eV per atom
**Crystal system**: cubic
**Total DFT energy (no corrections)**: -3.539 eV/atom

abc: 4.242 4.242 4.242
angles: 60.00 60.00 60.00
Sites, in units of the cell vectors:
Zn1 0.000 0.000 0.000
Cu1 0.250 0.250 0.250
Cu2 0.750 0.750 0.750
P1 0.500 0.500 0.500

Record 12
VASP calculation (GGA-PBE) on an optimized crystal structure of ZnCu2P.

Properties
**ΔH_f (0 K)**: 3.13 kcal/mol of atoms
**ΔE to the lowest computed polymorph**: 0.089 eV per atom
**Crystal system**: orthorhombic
**Total DFT energy (no corrections)**: -3.583 eV/atom

abc: 2.615 2.615 7.731
angles: 90.00 90.00 91.70
Sites, in units of the cell vectors:
Zn1 0.000 0.000 0.000
Cu1 0.500 0.500 0.246
Cu2 0.500 0.500 0.754
P1 0.000 0.000 0.500

Q: The highest ΔH_f (0 K) belongs to which entry?
A: Zn3CuP2

Q: Which of these has the lowest total DFT energy (no corrections)?
A: YZnCuP2